# 1
Fe2BiSeI | PBE | optimized geometry

abc: 5.0778 6.1859 5.0778
angles: 90.00 90.00 90.00
Positions (direct):
I 0.0000 0.5000 0.0000
Bi 0.0000 0.0000 0.0000
Se 0.5000 0.5000 0.5000
Fe 0.0000 0.0000 0.5000
Fe 0.5000 0.0000 0.0000

Calculated values
Mass density = 5.5 g/cm³
Energy relative to the elements, uncorrected = 6.44 eV/f.u.
SG = No. 123

***

# 2
FeBiTe2I | PBE | optimized geometry

abc: 5.0623 5.0623 5.3116
angles: 90.00 90.00 90.00
Positions (direct):
I 0.0000 0.0000 0.5000
Te 0.0000 0.5000 0.0000
Te 0.5000 0.0000 0.0000
Bi 0.5000 0.5000 0.5000
Fe 0.0000 0.0000 0.0000

Calculated values
Mass density = 7.9 g/cm³
Energy relative to the elements, uncorrected = 1.89 eV/f.u.
SG = No. 123